Entry from Alexandria: a relaxed structure of LiYTl2 (PBE).

Summary:
E above lowest polymorph	233	meV/atom
formation energy from the elements	-37	kJ/mol of formula units
total magnetization	0.0	Bohr magnetons per cell

Cell: 5.2320 5.2320 5.2320 Å, 60.00 60.00 60.00°
With the nearest neighbours (Å) after each atom.
Fractional coordinates of all 4 atoms:
Li (0.0000, 0.0000, 0.0000)  4 Y 3.20, 4 Tl 3.20
Y (0.7500, 0.7500, 0.7500)  4 Tl 3.20, 4 Li 3.20
Tl (0.2500, 0.2500, 0.2500)  4 Tl 3.20, 4 Li 3.20
Tl (0.5000, 0.5000, 0.5000)  4 Tl 3.20, 4 Y 3.20

Entry from Alexandria: a relaxed structure of Th4OsPtSe2 (PBE).

Summary:
total energy	-63.51	eV for the cell shown
total magnetization	0.0	Bohr magnetons per cell

Cell: 7.1752 4.1632 7.7106 Å, 90.00 108.01 90.00°
With the nearest neighbours (Å) after each atom.
Fractional coordinates of all 8 atoms:
Th (0.2332, 0.0000, 0.2186)  2 Os 2.87, 1 Pt 2.92, 3 Se 3.12-3.18
Th (0.2502, 0.5000, 0.7805)  1 Os 2.82, 2 Pt 2.92, 2 Se 3.14
Th (0.7498, 0.5000, 0.2195)  1 Os 2.82, 2 Pt 2.92, 2 Se 3.14
Th (0.7668, 0.0000, 0.7814)  2 Os 2.87, 1 Pt 2.92, 3 Se 3.12-3.18
Os (0.0000, 0.5000, 0.0000)  6 Th 2.82-2.87
Pt (0.5000, 0.0000, 0.0000)  6 Th 2.92
Se (0.0000, 0.0000, 0.5000)  6 Th 3.12-3.14
Se (0.5000, 0.5000, 0.5000)  6 Th 3.18-3.21

Entry from Alexandria: a relaxed structure of TbNd8Tm3 (PBE).

Summary:
formation energy from the elements	19	kJ/mol of formula units
total magnetization	0.0	Bohr magnetons per cell

Cell: 6.2647 7.2242 9.6057 Å, 100.98 96.21 106.36°
With the nearest neighbours (Å) after each atom.
Fractional coordinates of all 12 atoms:
Tb (0.0000, 0.0000, 0.0000)  10 Nd 3.60-3.67, 2 Tm 3.61-3.62
Nd (0.0007, 0.4998, 0.0026)  7 Nd 3.59-3.68, 3 Tm 3.59-3.62, 2 Tb 3.60-3.62
Nd (0.4953, 0.7468, 0.4942)  7 Nd 3.58-3.67, 5 Tm 3.58-3.62
Nd (0.4983, 0.5806, 0.8306)  9 Nd 3.60-3.66, 2 Tm 3.63-3.65, 1 Tb 3.65
Nd (0.4987, 0.0822, 0.8339)  8 Nd 3.61-3.67, 2 Tm 3.61-3.66, 2 Tb 3.61-3.62
Nd (0.4988, 0.9158, 0.1673)  5 Nd 3.58-3.65, 5 Tm 3.58-3.62, 2 Tb 3.62-3.63
Nd (0.9954, 0.1644, 0.6613)  3 Tm 3.60-3.61, 8 Nd 3.61-3.68, 1 Tb 3.67
Nd (0.9956, 0.6648, 0.6647)  9 Nd 3.60-3.67, 1 Tb 3.63, 2 Tm 3.64-3.65
Nd (0.9969, 0.3310, 0.3302)  5 Nd 3.59-3.63, 1 Tb 3.60, 6 Tm 3.60-3.63
Tm (0.4944, 0.2466, 0.4957)  10 Nd 3.58-3.66, 2 Tm 3.60-3.61
Tm (0.4990, 0.4147, 0.1664)  9 Nd 3.58-3.65, 2 Tm 3.60-3.63, 1 Tb 3.62
Tm (0.9976, 0.8324, 0.3308)  9 Nd 3.59-3.64, 2 Tm 3.61-3.63, 1 Tb 3.61

Entry from Alexandria: a relaxed structure of Cs3Ac3MnS8 (PBE).

Summary:
total energy	-79.42	eV for the cell shown
total magnetization	3.0	Bohr magnetons per cell

Cell: 9.5937 9.5937 9.5937 Å, 52.84 52.84 52.84°
With the nearest neighbours (Å) after each atom.
Fractional coordinates of all 15 atoms:
Cs (0.0000, 0.5000, 0.5000)  6 S 3.51-3.57
Cs (0.5000, 0.0000, 0.5000)  6 S 3.51-3.57
Cs (0.5000, 0.5000, 0.0000)  6 S 3.51-3.57
Ac (0.0000, 0.0000, 0.5000)  6 S 2.95-3.02
Ac (0.0000, 0.5000, 0.0000)  6 S 2.95-3.02
Ac (0.5000, 0.0000, 0.0000)  6 S 2.95-3.02
Mn (0.5000, 0.5000, 0.5000)  6 S 2.49
S (0.2324, 0.2324, 0.2324)  3 Ac 2.95
S (0.2754, 0.6963, 0.6963)  1 Mn 2.49
S (0.3037, 0.3037, 0.7246)  1 Mn 2.49
S (0.3037, 0.7246, 0.3037)  1 Mn 2.49
S (0.6963, 0.2754, 0.6963)  1 Mn 2.49
S (0.6963, 0.6963, 0.2754)  1 Mn 2.49
S (0.7246, 0.3037, 0.3037)  1 Mn 2.49
S (0.7676, 0.7676, 0.7676)  3 Ac 2.95